Entry 1:
The following is a GGA-PBE calculation of a geometry-optimized CeNdTlI structure, from Alexandria via LeMat-Bulk.

Symmetry ... F-43m, No. 216
E_form (uncorrected) ... -442 meV per atom
V ... 120.18 Å³ per cell

Lattice parameters (Å, degrees): 5.539 5.539 5.539 60.00 60.00 60.00
Atoms (fractional coordinates):
Ce  0.000  0.000  0.000
Nd  0.500  0.500  0.500
Tl  0.250  0.250  0.250
I  0.750  0.750  0.750

Entry 2:
The following is a GGA-PBE calculation of a geometry-optimized BeHI2N structure, from Alexandria via LeMat-Bulk.

Symmetry ... P4/mmm, No. 123
Excess energy over the best structure of this formula in the dataset ... 0.00 kJ/mol of atoms
V ... 108.88 Å³ per cell

Lattice parameters (Å, degrees): 5.954 5.954 3.071 90.00 90.00 90.00
Atoms (fractional coordinates):
Be  0.000  0.000  0.000
H  0.500  0.500  0.500
I  0.000  0.500  0.000
I  0.500  0.000  0.000
N  0.000  0.000  0.500

Entry 3:
The following is a GGA-PBE calculation of a geometry-optimized ScNb2Mo2 structure, from Alexandria via LeMat-Bulk.

Symmetry ... P4/mbm, No. 127
Energy of formation ... 260 meV per atom
V ... 187.18 Å³ per cell

Lattice parameters (Å, degrees): 7.640 7.640 3.207 90.00 90.00 90.00
Atoms (fractional coordinates):
Sc  0.000  0.000  0.000
Sc  0.500  0.500  0.000
Nb  0.150  0.350  0.500
Nb  0.350  0.850  0.500
Nb  0.650  0.150  0.500
Nb  0.850  0.650  0.500
Mo  0.148  0.648  0.000
Mo  0.352  0.148  0.000
Mo  0.648  0.852  0.000
Mo  0.852  0.352  0.000

Entry 4:
The following is a GGA-PBE calculation of a geometry-optimized LaPm2DyTm structure, from Alexandria via LeMat-Bulk.

Symmetry ... P2/c, No. 13
Energy of formation ... 316 meV per atom
V ... 353.94 Å³ per cell

Lattice parameters (Å, degrees): 8.413 6.273 6.773 90.00 98.02 90.00
Atoms (fractional coordinates):
La  0.000  0.000  0.000
La  0.000  0.000  0.500
Pm  0.330  0.381  0.114
Pm  0.330  0.619  0.614
Pm  0.670  0.381  0.386
Pm  0.670  0.619  0.886
Dy  0.000  0.470  0.750
Dy  0.000  0.530  0.250
Tm  0.500  0.116  0.750
Tm  0.500  0.884  0.250

Entry 5:
The following is a GGA-PBE calculation of a geometry-optimized YHo7Er3 structure, from Alexandria via LeMat-Bulk.

Symmetry ... C2/m, No. 12
Energy of formation ... 273 meV per atom
Excess energy over the best structure of this formula in the dataset ... 11.97 kJ/mol of atoms
V ... 353.36 Å³ per cell

Lattice parameters (Å, degrees): 8.354 8.354 5.735 110.02 110.02 83.14
Atoms (fractional coordinates):
Y  0.000  0.000  0.000
Ho  0.000  0.000  0.500
Ho  0.100  0.496  0.798
Ho  0.294  0.294  0.295
Ho  0.496  0.100  0.798
Ho  0.504  0.900  0.202
Ho  0.706  0.706  0.705
Ho  0.900  0.504  0.202
Er  0.293  0.707  0.500
Er  0.500  0.500  0.000
Er  0.707  0.293  0.500

Entry 6:
The following is a GGA-PBE calculation of a geometry-optimized Nd2TmPuP4 structure, from Alexandria via LeMat-Bulk.

Symmetry ... P2/m, No. 10
Energy of formation ... -1440 meV per atom
V ... 190.01 Å³ per cell

Lattice parameters (Å, degrees): 7.025 4.074 7.042 90.00 109.47 90.00
Atoms (fractional coordinates):
Nd  0.000  0.000  0.000
Nd  0.500  0.500  0.000
Tm  0.000  0.500  0.500
Pu  0.500  0.000  0.500
P  0.246  0.000  0.736
P  0.256  0.500  0.265
P  0.744  0.500  0.735
P  0.754  0.000  0.264

Number 1: energy -4.097 eV per atom, size of the total moment 0.27 μB per atom. Number 2: energy -2.948 eV per atom, size of the total moment 0.20 μB per atom. Number 3: energy -9.366 eV per atom, size of the total moment 0.00 μB per atom. Number 4: energy -4.384 eV per atom, size of the total moment 0.00 μB per atom. Number 5: energy -4.472 eV per atom, size of the total moment 0.04 μB per atom. Number 6: energy -7.688 eV per atom, size of the total moment 0.61 μB per atom.